No. 1
Material: LiCeSmSn
Method: DFT, PBE-GGA
State: relaxed

Lattice parameters (Å, degrees): 5.3589 5.3589 5.3589 60.00 60.00 60.00
Last column: nearest neighbours and their distance in Å.
Atoms (fractional coordinates):
Li (0.0000, 0.0000, 0.0000)  4 Sm 3.28, 4 Ce 3.28
Ce (0.2500, 0.2500, 0.2500)  4 Sn 3.28, 4 Li 3.28
Sm (0.7500, 0.7500, 0.7500)  4 Li 3.28, 4 Sn 3.28
Sn (0.5000, 0.5000, 0.5000)  4 Sm 3.28, 4 Ce 3.28

No. 2
Material: Ho8IrPt5
Method: DFT, PBE-GGA
State: relaxed

Lattice parameters (Å, degrees): 7.5043 7.5043 7.5043 109.53 109.53 109.35
Last column: nearest neighbours and their distance in Å.
Atoms (fractional coordinates):
Ho (0.0014, 0.6288, 0.7524)  1 Ir 2.79, 2 Pt 2.83-2.84
Ho (0.2427, 0.4914, 0.1202)  3 Pt 2.82-2.85, 1 Ir 3.15
Ho (0.3711, 0.1225, 0.8798)  3 Pt 2.82-2.85, 1 Ir 3.15
Ho (0.3712, 0.1236, 0.3725)  1 Ir 2.79, 2 Pt 2.83-2.84
Ho (0.5086, 0.6289, 0.7513)  3 Pt 2.82-2.85, 1 Ir 3.15
Ho (0.7510, 0.9986, 0.6275)  1 Ir 2.79, 2 Pt 2.83-2.84
Ho (0.8764, 0.2490, 0.2476)  1 Ir 2.79, 2 Pt 2.83-2.84
Ho (0.8775, 0.7573, 0.2487)  3 Pt 2.82-2.85, 1 Ir 3.15
Ir (0.0000, 0.0000, 0.0000)  4 Ho 2.79
Pt (0.1281, 0.2521, 0.6272)  4 Ho 2.82-2.85
Pt (0.2500, 0.7500, 0.5000)  4 Ho 2.83
Pt (0.4991, 0.8719, 0.1240)  4 Ho 2.82-2.85
Pt (0.6249, 0.5009, 0.3728)  4 Ho 2.82-2.85
Pt (0.7479, 0.3751, 0.8760)  4 Ho 2.82-2.85

No. 3
Material: Pa12Tc7Au
Method: DFT, PBE-GGA
State: relaxed

Lattice parameters (Å, degrees): 8.7103 8.7103 8.7103 109.47 109.47 109.47
Last column: nearest neighbours and their distance in Å.
Atoms (fractional coordinates):
Pa (0.1261, 0.3203, 0.8058)  3 Tc 2.66-2.67
Pa (0.1942, 0.5145, 0.3203)  3 Tc 2.66-2.67
Pa (0.1942, 0.8739, 0.6797)  3 Tc 2.66-2.67
Pa (0.3203, 0.1942, 0.5145)  3 Tc 2.66-2.67
Pa (0.3203, 0.8058, 0.1261)  3 Tc 2.66-2.67
Pa (0.4855, 0.6797, 0.8058)  3 Tc 2.66-2.67
Pa (0.5145, 0.3203, 0.1942)  3 Tc 2.66-2.67
Pa (0.6797, 0.1942, 0.8739)  3 Tc 2.66-2.67
Pa (0.6797, 0.8058, 0.4855)  3 Tc 2.66-2.67
Pa (0.8058, 0.1261, 0.3203)  3 Tc 2.66-2.67
Pa (0.8058, 0.4855, 0.6797)  3 Tc 2.66-2.67
Pa (0.8739, 0.6797, 0.1942)  3 Tc 2.66-2.67
Tc (0.0000, 0.0000, 0.5000)  6 Pa 2.67
Tc (0.0000, 0.5000, 0.0000)  6 Pa 2.67
Tc (0.0000, 0.5000, 0.5000)  4 Pa 2.66
Tc (0.5000, 0.0000, 0.0000)  6 Pa 2.67
Tc (0.5000, 0.0000, 0.5000)  4 Pa 2.66
Tc (0.5000, 0.5000, 0.0000)  4 Pa 2.66
Tc (0.5000, 0.5000, 0.5000)  6 Pa 2.67
Au (0.0000, 0.0000, 0.0000)  12 Pa 3.77

No. 4
Material: YMgPb2
Method: DFT, PBE-GGA
State: relaxed

Lattice parameters (Å, degrees): 5.4638 5.4638 5.4638 60.00 60.00 60.00
Last column: nearest neighbours and their distance in Å.
Atoms (fractional coordinates):
Y (0.0000, 0.0000, 0.0000)  4 Pb 3.35, 4 Mg 3.35
Mg (0.7500, 0.7500, 0.7500)  4 Y 3.35, 4 Pb 3.35
Pb (0.2500, 0.2500, 0.2500)  4 Pb 3.35, 4 Y 3.35
Pb (0.5000, 0.5000, 0.5000)  4 Mg 3.35, 4 Pb 3.35

no.,total DFT energy (no corrections) (eV per atom),DFT formation energy (kJ/mol of formula units),D(E_F) (states/eV/atom)
1,-4.466,-125.0,2.61
2,-6.490,-1464.6,0.56
3,-9.347,275.8,1.77
4,-3.946,-29.9,0.38